Compound: Ho2NiAs2
Source: Alexandria
Functional: GGA-PBE
Structure: optimized geometry

```
10
Lattice="4.0890 0.0000 0.0000 -2.0445 3.5412 0.0000 0.0000 0.0000 14.2050" Properties=species:S:1:pos:R:3 pbc="T T T"
Ho 0.0000 2.3608 1.6604
Ho 0.0000 2.3608 5.4421
Ho 2.0445 1.1804 8.7629
Ho 2.0445 1.1804 12.5446
Ni 0.0000 0.0000 3.5512
Ni 0.0000 0.0000 10.6537
As 0.0000 0.0000 0.0000
As 0.0000 0.0000 7.1025
As 0.0000 2.3608 10.6537
As 2.0445 1.1804 3.5512
```

Output
Formation energy from the elements (eV/atom): -1.239
DOS(E_F) (states/eV/cell): 3.19



Compound: TbEr5Tm2Sc
Source: Alexandria
Functional: GGA-PBE
Structure: optimized geometry

```
18
Lattice="2.7397 -9.7984 0.0000 2.7397 9.7984 0.0000 0.0000 0.0000 10.2863" Properties=species:S:1:pos:R:3 pbc="T T T"
Tb 2.7397 8.0547 5.1432
Tb 2.7397 -8.0547 0.0000
Er 2.7397 9.4233 8.0699
Er 2.7397 7.4330 0.6895
Er 2.7397 5.8744 7.7260
Er 2.7397 5.4216 3.7541
Er 2.7397 0.3467 0.6658
Er 2.7397 -0.3467 5.8089
Er 2.7397 -5.4216 8.8972
Er 2.7397 -5.8744 2.5828
Er 2.7397 -7.4330 5.8326
Er 2.7397 -9.4233 2.9267
Tm 2.7397 2.2195 8.0520
Tm 2.7397 2.1809 3.6860
Tm 2.7397 -2.1809 8.8291
Tm 2.7397 -2.2195 2.9089
Sc 2.7397 3.8374 0.6165
Sc 2.7397 -3.8374 5.7597
```

Output
Formation energy from the elements (eV/atom): 0.173
DOS(E_F) (states/eV/cell): 30.63